Rb2SrBiBr6 (PBE, relaxed); SG = I4/mmm, No. 139; magnetic moment = 1.00 μB per formula unit; uncorrected formation energy = -1.39 eV per atom
1.0
-4.152 4.152 6.495
4.152 -4.152 6.495
4.152 4.152 -6.495
Rb Sr Bi Br
2 1 1 6
Cartesian
4.152 0.000 3.247
0.000 4.152 3.247
0.000 0.000 0.000
0.000 0.000 6.495
0.000 0.000 2.987
2.127 2.127 0.000
2.024 -2.024 6.495
-2.024 2.024 6.495
2.024 2.024 6.495
0.000 0.000 10.003